The following is a PBE-GGA calculation of a geometry-optimized ScAu2S structure, from Alexandria.

Results
The uncorrected formation energy is -0.52 eV per atom. Its density of states at the Fermi level is 0.74 states/eV/atom.

a b c (Å): 7.779 7.779 5.234
angles (deg): 90.00 90.00 90.00
Space group I-42d (No. 122)
Inequivalent atoms, fractional coordinates:
Sc 0.000 0.000 0.000 (multiplicity 4)
Au 0.227 0.250 0.625 (multiplicity 8)
S 0.000 0.000 0.500 (multiplicity 4)

---

The following is a PBE-GGA calculation of a geometry-optimized ScAuS2 structure, from Alexandria.

Results
The energy relative to the lowest polymorph listed for this composition comes out at 86 meV per atom. The uncorrected formation energy is -1.11 eV per atom. Its density of states at the Fermi level is 0.00 states/eV/atom.

a b c (Å): 10.727 11.835 14.393
angles (deg): 90.00 110.11 90.00
Space group C2/c (No. 15)
Inequivalent atoms, fractional coordinates:
Sc 0.064 0.095 0.101 (multiplicity 8)
Sc 0.173 0.162 0.897 (multiplicity 8)
Au 0.159 0.406 0.740 (multiplicity 8)
Au 0.169 0.308 0.267 (multiplicity 8)
S 0.000 0.178 0.250 (multiplicity 4)
S 0.000 0.276 0.750 (multiplicity 4)
S 0.096 0.273 0.017 (multiplicity 8)
S 0.156 0.013 0.486 (multiplicity 8)
S 0.184 0.050 0.742 (multiplicity 8)